Record 1
NaMg3Sb after structural relaxation. Source: Alexandria via LeMat-Bulk, functional PBE.

CIF file:
```
data_NaMg3Sb
_chemical_formula_sum 'Na1 Mg3 Sb1'
_cell_length_a 5.600
_cell_length_b 5.600
_cell_length_c 5.600
_cell_angle_alpha 90.00
_cell_angle_beta 90.00
_cell_angle_gamma 90.00
_symmetry_space_group_name_H-M 'P m -3 m'
_symmetry_Int_Tables_number 221
_symmetry_space_group_name_Hall '-P 4 2 3'
loop_
_atom_site_label
_atom_site_type_symbol
_atom_site_fract_x
_atom_site_fract_y
_atom_site_fract_z
Na1 Na 0.000 0.000 0.000
Mg1 Mg 0.000 0.500 0.500
Sb1 Sb 0.500 0.500 0.500
```

Formation energy without anion corrections in meV/atom: 255
Energy relative to the lowest polymorph listed for this composition in meV per atom: 0
Magnetic moment in μB/f.u.: 0.0
N(E_F) in states/eV per cell: 3.5

---

Record 2
NaMg2Sb after structural relaxation. Source: Alexandria via LeMat-Bulk, functional PBE.

CIF file:
```
data_NaMg2Sb
_chemical_formula_sum 'Na4 Mg8 Sb4'
_cell_length_a 9.142
_cell_length_b 9.142
_cell_length_c 6.046
_cell_angle_alpha 90.00
_cell_angle_beta 90.00
_cell_angle_gamma 90.00
_symmetry_space_group_name_H-M 'I -4 2 d'
_symmetry_Int_Tables_number 122
_symmetry_space_group_name_Hall 'I -4 2bw'
loop_
_atom_site_label
_atom_site_type_symbol
_atom_site_fract_x
_atom_site_fract_y
_atom_site_fract_z
Na1 Na 0.000 0.000 0.000
Mg1 Mg 0.174 0.250 0.625
Sb1 Sb 0.000 0.000 0.500
```

Formation energy without anion corrections in meV/atom: -24
Magnetic moment in μB/f.u.: 0.0
N(E_F) in states/eV per cell: 3.7

---

Record 3
NaMg2Sb2 after structural relaxation. Source: Alexandria via LeMat-Bulk, functional PBE.

CIF file:
```
data_NaMg2Sb2
_chemical_formula_sum 'Na4 Mg8 Sb8'
_cell_length_a 9.806
_cell_length_b 12.587
_cell_length_c 6.274
_cell_angle_alpha 90.00
_cell_angle_beta 123.60
_cell_angle_gamma 90.00
_symmetry_space_group_name_H-M 'C 1 2/c 1'
_symmetry_Int_Tables_number 15
loop_
_symmetry_equiv_pos_as_xyz
'x,y,z'
'-x,-y,-z'
'-x,y,-z+1/2'
'x,-y,z+1/2'
'x+1/2,y+1/2,z'
'-x+1/2,-y+1/2,-z'
'-x+1/2,y+1/2,-z+1/2'
'x+1/2,-y+1/2,z+1/2'
loop_
_atom_site_label
_atom_site_type_symbol
_atom_site_fract_x
_atom_site_fract_y
_atom_site_fract_z
Na1 Na 0.000 0.094 0.250
Mg1 Mg 0.164 0.353 0.045
Sb1 Sb 0.000 0.166 0.750
Sb2 Sb 0.000 0.459 0.250
```

Formation energy without anion corrections in meV/atom: -314
Energy relative to the lowest polymorph listed for this composition in meV per atom: 17
Magnetic moment in μB/f.u.: 0.0
N(E_F) in states/eV per cell: 4.2

---

Record 4
Na2MgSb2 after structural relaxation. Source: Alexandria via LeMat-Bulk, functional PBE.

CIF file:
```
data_Na2MgSb2
_chemical_formula_sum 'Na4 Mg2 Sb4'
_cell_length_a 4.646
_cell_length_b 4.646
_cell_length_c 13.591
_cell_angle_alpha 90.00
_cell_angle_beta 90.00
_cell_angle_gamma 90.00
_symmetry_space_group_name_H-M 'I 4/m m m'
_symmetry_Int_Tables_number 139
_symmetry_space_group_name_Hall '-I 4 2'
loop_
_atom_site_label
_atom_site_type_symbol
_atom_site_fract_x
_atom_site_fract_y
_atom_site_fract_z
Na1 Na 0.000 0.500 0.250
Mg1 Mg 0.000 0.000 0.000
Sb1 Sb 0.000 0.000 0.399
```

Formation energy without anion corrections in meV/atom: -45
Energy relative to the lowest polymorph listed for this composition in meV per atom: 297
Magnetic moment in μB/f.u.: 0.0
N(E_F) in states/eV per cell: 7.3

---

Record 5
Na2MgSb after structural relaxation. Source: Alexandria via LeMat-Bulk, functional PBE.

CIF file:
```
data_Na2MgSb
_chemical_formula_sum 'Na8 Mg4 Sb4'
_cell_length_a 7.489
_cell_length_b 7.489
_cell_length_c 7.489
_cell_angle_alpha 90.00
_cell_angle_beta 90.00
_cell_angle_gamma 90.00
_symmetry_space_group_name_H-M 'F m -3 m'
_symmetry_Int_Tables_number 225
_symmetry_space_group_name_Hall '-F 4 2 3'
loop_
_atom_site_label
_atom_site_type_symbol
_atom_site_fract_x
_atom_site_fract_y
_atom_site_fract_z
Na1 Na 0.250 0.250 0.250
Mg1 Mg 0.000 0.000 0.000
Sb1 Sb 0.000 0.000 0.500
```

Formation energy without anion corrections in meV/atom: -171
Energy relative to the lowest polymorph listed for this composition in meV per atom: 0
Magnetic moment in μB/f.u.: 0.0
N(E_F) in states/eV per cell: 7.5

---

Record 6
NaMg2Sb after structural relaxation. Source: Alexandria via LeMat-Bulk, functional PBE.

CIF file:
```
data_NaMg2Sb
_chemical_formula_sum 'Na1 Mg2 Sb1'
_cell_length_a 4.590
_cell_length_b 4.590
_cell_length_c 4.564
_cell_angle_alpha 90.00
_cell_angle_beta 90.00
_cell_angle_gamma 90.00
_symmetry_space_group_name_H-M 'P 4/m m m'
_symmetry_Int_Tables_number 123
_symmetry_space_group_name_Hall '-P 4 2'
loop_
_atom_site_label
_atom_site_type_symbol
_atom_site_fract_x
_atom_site_fract_y
_atom_site_fract_z
Na1 Na 0.000 0.000 0.000
Mg1 Mg 0.000 0.500 0.500
Sb1 Sb 0.500 0.500 0.000
```

Formation energy without anion corrections in meV/atom: -193
Magnetic moment in μB/f.u.: 0.0
N(E_F) in states/eV per cell: 2.1